1.
Entry from the Alexandria database: BeFeF2 after structural relaxation (GGA+U).

Structure (POSCAR):
```
BeFeF2
1.0
5.2707 0.0000 0.0000
0.0000 5.2707 0.0000
2.6353 2.6353 3.7789
Be Fe F
2 2 4
direct
0.5000 0.5000 0.0000 Be
0.2500 0.7500 0.5000 Be
0.0000 0.0000 0.0000 Fe
0.7500 0.2500 0.5000 Fe
0.3751 0.1250 0.2500 F
0.3749 0.6250 0.2500 F
0.3750 0.6249 0.7500 F
0.8750 0.6251 0.7500 F
```

Computed properties:
The offset from the most stable computed form comes out at 0.337 eV/f.u. The space group is No. 141.

***

2.
Entry from the Alexandria database: VAuO2 after structural relaxation (GGA+U).

Structure (POSCAR):
```
VAuO2
1.0
3.8695 0.0000 0.0018
0.0000 2.9203 0.0000
-0.1003 0.0000 10.6239
Au O V
2 4 2
direct
0.2520 0.2500 0.5650 Au
0.7480 0.7500 0.4350 Au
0.2510 0.2500 0.0416 O
0.7490 0.7500 0.9584 O
0.2449 0.2500 0.7920 O
0.7551 0.7500 0.2080 O
0.7524 0.2500 0.0978 V
0.2476 0.7500 0.9022 V
```

Computed properties:
The space group is No. 11.

***

Asked for total magnetic moment across the records above, the calculation gives 3.91 1.21 μB/f.u. in order.
Asked for calculated total energy across the records above, the calculation gives -4.8171 -6.4487 eV per atom in order.